Tb3WSe2O6: relaxed, GGA+U.

Summary:
Symmetry: C2/m
Energy in eV per atom: -7.017

Cell lengths 6.7570, 6.7570, 5.5686 Å; angles 98.10, 98.10, 57.78 degrees
Element x y z (fractional)
Tb (0.0000, 0.0000, 0.0000)
Tb (0.0000, 0.5000, 0.5000)
Tb (0.5000, 0.0000, 0.5000)
W (0.5000, 0.5000, 0.5000)
Se (0.2186, 0.2186, 0.8874)
Se (0.7814, 0.7814, 0.1126)
O (0.2193, 0.6726, 0.6985)
O (0.3274, 0.7807, 0.3015)
O (0.3416, 0.3416, 0.3375)
O (0.6584, 0.6584, 0.6625)
O (0.6726, 0.2193, 0.6985)
O (0.7807, 0.3274, 0.3015)